Computed, not measured: a relaxed structure of Be2TlGa2 at the GGA-PBE level of DFT.

abc: 3.9337 3.9337 10.9686
angles: 90.00 90.00 90.00
Closest atoms and distances in Å follow each position.
Space group I4/mmm (No. 139)
Symmetry-distinct sites (fractional):
Be1 0.0000 0.5000 0.2500 x4  4 Ga 2.41
Tl1 0.0000 0.0000 0.0000 x2  8 Ga 3.09, 8 Be 3.37
Ga1 0.0000 0.0000 0.3771 x4  4 Be 2.41, 1 Ga 2.70

Theoretical density, Mg/m³: 7.1
Calculated formation energy, meV/atom: 350
D(E_F), states/eV per atom: 0.34
Magnetization, μB/f.u.: 0.000
Energy above the lowest structure with this stoichiometry, meV/atom: 0
Electronic total energy, eV/cell: -28.2